Record 1
A plane-wave DFT calculation with PBE-GGA was carried out for an optimized crystal structure of LaCeCuHg.

Values from the calculation:
- DFT formation energy: -0.18 eV/atom
- Mass density: 8.51 g/cm³
- Magnetization: 1.28 μB per formula unit

abc: 7.5124 7.5124 7.5124
angles: 90.00 90.00 90.00
With the nearest neighbours (Å) after each atom.
Space group F-43m (No. 216)
Symmetry-distinct sites (fractional):
La 0.0000 0.0000 0.0000 [4 per cell]  4 Hg 3.25, 4 Cu 3.25
Ce 0.0000 0.0000 0.5000 [4 per cell]  4 Hg 3.25, 4 Cu 3.25
Cu 0.2500 0.2500 0.2500 [4 per cell]  4 La 3.25, 4 Ce 3.25
Hg 0.2500 0.2500 0.7500 [4 per cell]  4 La 3.25, 4 Ce 3.25

---

Record 2
A plane-wave DFT calculation with PBE-GGA was carried out for an optimized crystal structure of LiCeCuHg.

Values from the calculation:
- DFT formation energy: -0.12 eV/atom
- Mass density: 7.86 g/cm³
- Magnetization: 0.89 μB per formula unit

abc: 7.0303 7.0303 7.0303
angles: 90.00 90.00 90.00
With the nearest neighbours (Å) after each atom.
Space group F-43m (No. 216)
Symmetry-distinct sites (fractional):
Li 0.0000 0.0000 0.0000 [4 per cell]  4 Hg 3.04, 4 Cu 3.04
Ce 0.0000 0.0000 0.5000 [4 per cell]  4 Hg 3.04, 4 Cu 3.04
Cu 0.2500 0.2500 0.7500 [4 per cell]  4 Ce 3.04, 4 Li 3.04
Hg 0.2500 0.2500 0.2500 [4 per cell]  4 Ce 3.04, 4 Li 3.04

---

Record 3
A plane-wave DFT calculation with PBE-GGA was carried out for an optimized crystal structure of CeMgCuHg.

Values from the calculation:
- DFT formation energy: -0.22 eV/atom
- Mass density: 8.06 g/cm³
- Magnetization: 0.65 μB per formula unit

abc: 7.0674 7.0674 7.0674
angles: 90.00 90.00 90.00
With the nearest neighbours (Å) after each atom.
Space group F-43m (No. 216)
Symmetry-distinct sites (fractional):
Ce 0.0000 0.0000 0.0000 [4 per cell]  4 Hg 3.06, 4 Cu 3.06
Mg 0.0000 0.0000 0.5000 [4 per cell]  4 Hg 3.06, 4 Cu 3.06
Cu 0.2500 0.2500 0.2500 [4 per cell]  4 Ce 3.06, 4 Mg 3.06
Hg 0.2500 0.2500 0.7500 [4 per cell]  4 Ce 3.06, 4 Mg 3.06

---

Record 4
A plane-wave DFT calculation with PBE-GGA was carried out for an optimized crystal structure of CePmCuHg.

Values from the calculation:
- DFT formation energy: -0.18 eV/atom
- Mass density: 8.95 g/cm³
- Magnetization: 1.24 μB per formula unit

abc: 7.4150 7.4150 7.4150
angles: 90.00 90.00 90.00
With the nearest neighbours (Å) after each atom.
Space group F-43m (No. 216)
Symmetry-distinct sites (fractional):
Ce 0.0000 0.0000 0.0000 [4 per cell]  4 Hg 3.21, 4 Cu 3.21
Pm 0.0000 0.0000 0.5000 [4 per cell]  4 Hg 3.21, 4 Cu 3.21
Cu 0.2500 0.2500 0.2500 [4 per cell]  4 Ce 3.21, 4 Pm 3.21
Hg 0.2500 0.2500 0.7500 [4 per cell]  4 Ce 3.21, 4 Pm 3.21